Material: Sc4Cu2Hg5
Method: DFT, GGA-PBE
State: relaxed

abc: 7.3676 3.3575 9.2129
angles: 90.00 93.44 90.00
Closest atoms and distances in Å follow each position.
Fractional coordinates of all 11 atoms:
Sc (0.1830, 0.0000, 0.3533)  2 Cu 2.77, 2 Hg 3.02
Sc (0.2274, 0.0000, 0.9340)  4 Cu 2.77
Sc (0.7726, 0.0000, 0.0660)  4 Cu 2.77
Sc (0.8170, 0.0000, 0.6467)  2 Cu 2.77, 2 Hg 3.02
Cu (0.0669, 0.5000, 0.1276)  1 Cu 2.49, 1 Hg 2.76, 6 Sc 2.77
Cu (0.9331, 0.5000, 0.8724)  1 Cu 2.49, 1 Hg 2.76, 6 Sc 2.77
Hg (0.1578, 0.5000, 0.6438)  1 Cu 2.76, 1 Hg 2.92, 2 Sc 3.02
Hg (0.4459, 0.5000, 0.1678)  1 Cu 2.79, 1 Hg 3.06, 4 Sc 3.10-3.12
Hg (0.5000, 0.5000, 0.5000)  4 Hg 2.92-3.06, 4 Sc 3.12
Hg (0.5541, 0.5000, 0.8322)  1 Cu 2.79, 1 Hg 3.06, 4 Sc 3.10-3.12
Hg (0.8422, 0.5000, 0.3562)  1 Cu 2.76, 1 Hg 2.92, 2 Sc 3.02

Results
E_form ... -0.30 eV/atom

Material: Li2VGa4
Method: DFT, GGA-PBE
State: relaxed

abc: 5.2255 5.2255 5.2255
angles: 111.62 111.62 105.25
Closest atoms and distances in Å follow each position.
Fractional coordinates of all 7 atoms:
Li (0.0000, 0.5000, 0.5000)  8 Ga 2.61
Li (0.5000, 0.0000, 0.5000)  8 Ga 2.61
V (0.0000, 0.0000, 0.0000)  8 Ga 2.61
Ga (0.0000, 0.0000, 0.5000)  4 Li 2.61, 2 V 2.61
Ga (0.0000, 0.5000, 0.0000)  4 Li 2.61, 2 V 2.61
Ga (0.5000, 0.0000, 0.0000)  4 Li 2.61, 2 V 2.61
Ga (0.5000, 0.5000, 0.5000)  4 Li 2.61, 2 V 2.61

Results
E_form ... -0.25 eV/atom
Energy relative to the lowest polymorph listed for this composition ... 0.000 eV per atom

Material: MnCu2Sb
Method: DFT, GGA-PBE
State: relaxed

abc: 3.0056 3.6887 5.6412
angles: 90.00 90.59 90.00
Closest atoms and distances in Å follow each position.
Fractional coordinates of all 4 atoms:
Mn (0.0000, 0.0000, 0.0000)  5 Cu 2.50-2.77, 4 Sb 2.78
Cu (0.0175, 0.0000, 0.4431)  1 Mn 2.50, 4 Cu 2.61-2.62
Cu (0.5103, 0.5000, 0.2496)  4 Cu 2.61-2.62, 4 Mn 2.76-2.77, 2 Sb 2.80-2.84
Sb (0.4941, 0.5000, 0.7456)  4 Mn 2.78, 6 Cu 2.80-2.97, 2 Sb 3.01

Results
Energy relative to the elements, uncorrected ... 0.21 eV/atom

Material: Zn3SiMo
Method: DFT, GGA-PBE
State: relaxed

abc: 4.5838 4.5838 4.5838
angles: 90.00 90.00 90.00
Closest atoms and distances in Å follow each position.
Fractional coordinates of all 5 atoms:
Zn (0.0000, 0.0000, 0.5000)  2 Si 2.29
Zn (0.0000, 0.5000, 0.0000)  2 Si 2.29
Zn (0.5000, 0.0000, 0.0000)  2 Si 2.29
Si (0.0000, 0.0000, 0.0000)  6 Zn 2.29
Mo (0.5000, 0.5000, 0.5000)  12 Zn 3.24

Results
Energy relative to the lowest polymorph listed for this composition ... 0.000 eV per atom
Energy relative to the elements, uncorrected ... 1.08 eV/atom

Material: Nd4Ga16Pt3
Method: DFT, GGA-PBE
State: relaxed

abc: 6.2995 6.2995 11.2797
angles: 90.00 90.00 90.00
Closest atoms and distances in Å follow each position.
Fractional coordinates of all 23 atoms:
Nd (0.0000, 0.5000, 0.1925)  12 Ga 3.06-3.18
Nd (0.0000, 0.5000, 0.8075)  12 Ga 3.06-3.18
Nd (0.5000, 0.0000, 0.1925)  12 Ga 3.06-3.18
Nd (0.5000, 0.0000, 0.8075)  12 Ga 3.06-3.18
Ga (0.0000, 0.0000, 0.2007)  8 Ga 2.93-2.97, 4 Nd 3.15
Ga (0.0000, 0.0000, 0.7993)  8 Ga 2.93-2.97, 4 Nd 3.15
Ga (0.2089, 0.2089, 0.0000)  1 Pt 2.59, 2 Ga 2.63
Ga (0.2089, 0.7911, 0.0000)  1 Pt 2.59, 2 Ga 2.63
Ga (0.2464, 0.2464, 0.3784)  2 Pt 2.62, 2 Ga 2.74-2.80
Ga (0.2464, 0.2464, 0.6216)  2 Pt 2.62, 2 Ga 2.74-2.80
Ga (0.2464, 0.7536, 0.3784)  2 Pt 2.62, 2 Ga 2.74-2.80
Ga (0.2464, 0.7536, 0.6216)  2 Pt 2.62, 2 Ga 2.74-2.80
Ga (0.5000, 0.5000, 0.2317)  1 Pt 2.61, 4 Ga 2.80
Ga (0.5000, 0.5000, 0.7683)  1 Pt 2.61, 4 Ga 2.80
Ga (0.7536, 0.2464, 0.3784)  2 Pt 2.62, 2 Ga 2.74-2.80
Ga (0.7536, 0.2464, 0.6216)  2 Pt 2.62, 2 Ga 2.74-2.80
Ga (0.7536, 0.7536, 0.3784)  2 Pt 2.62, 2 Ga 2.74-2.80
Ga (0.7536, 0.7536, 0.6216)  2 Pt 2.62, 2 Ga 2.74-2.80
Ga (0.7911, 0.2089, 0.0000)  1 Pt 2.59, 2 Ga 2.63
Ga (0.7911, 0.7911, 0.0000)  1 Pt 2.59, 2 Ga 2.63
Pt (0.0000, 0.5000, 0.5000)  8 Ga 2.62
Pt (0.5000, 0.0000, 0.5000)  8 Ga 2.62
Pt (0.5000, 0.5000, 0.0000)  6 Ga 2.59-2.61

Results
E_form ... -0.65 eV/atom

Material: BeBH
Method: DFT, GGA-PBE
State: relaxed

abc: 7.4334 7.4334 2.1071
angles: 90.00 90.00 155.25
Closest atoms and distances in Å follow each position.
Fractional coordinates of all 6 atoms:
Be (0.2033, 0.7967, 0.7500)  5 B 2.04-2.06, 2 Be 2.11
Be (0.7967, 0.2033, 0.2500)  5 B 2.04-2.06, 2 Be 2.11
B (0.3452, 0.6548, 0.7500)  1 H 1.19
B (0.6548, 0.3452, 0.2500)  1 H 1.19
H (0.4272, 0.5728, 0.7500)  1 B 1.19
H (0.5728, 0.4272, 0.2500)  1 B 1.19

Results
Energy relative to the lowest polymorph listed for this composition ... 0.176 eV per atom

DOS at the Fermi energy per entry: 0.84, 0.36, 0.58, 0.66, 0.22, 0.07 states/eV/atom